# LiZn2GeAs

A geometry-optimized LiZn2GeAs structure (GGA-PBE, Alexandria via LeMat-Bulk).

- Magnetization: 0.00 μB/f.u.
- Space-group type: No. 123
- Total energy: -2.36 eV/atom
- E_form: 382 meV/atom

a b c (Å): 4.7216 4.7819 4.7216
angles (deg): 90.00 90.00 90.00
Fractional positions:
Zn 0.0000 0.0000 0.5000
Zn 0.5000 0.0000 0.0000
As 0.5000 0.5000 0.5000
Ge 0.0000 0.0000 0.0000
Li 0.0000 0.5000 0.0000

---

# Mg2GeAs

A geometry-optimized Mg2GeAs structure (GGA-PBE, Alexandria via LeMat-Bulk).

- Magnetization: 0.00 μB/f.u.
- Space-group type: No. 122
- Relative energy among the computed polymorphs: 60 meV per atom
- Total energy: -3.17 eV/atom
- E_form: -55 meV/atom

a b c (Å): 7.4833 7.4833 6.1018
angles (deg): 52.18 52.18 90.00
Fractional positions:
Mg 0.6469 0.1250 0.2500
Mg 0.1031 0.6250 0.2500
Mg 0.3750 0.3531 0.7500
Mg 0.8750 0.8969 0.7500
As 0.0000 0.0000 0.0000
As 0.7500 0.2500 0.5000
Ge 0.5000 0.5000 0.0000
Ge 0.2500 0.7500 0.5000

---

# Mg2GeAs2

A geometry-optimized Mg2GeAs2 structure (GGA-PBE, Alexandria via LeMat-Bulk).

- Magnetization: 0.00 μB/f.u.
- Space-group type: No. 127
- Relative energy among the computed polymorphs: 0 meV per atom
- Total energy: -3.61 eV/atom
- E_form: -188 meV/atom

a b c (Å): 7.8885 7.8885 3.2491
angles (deg): 90.00 90.00 90.00
Fractional positions:
Mg 0.1392 0.6392 0.5000
Mg 0.6392 0.8608 0.5000
Mg 0.8608 0.3608 0.5000
Mg 0.3608 0.1392 0.5000
As 0.3371 0.8371 0.0000
As 0.8371 0.6629 0.0000
As 0.6629 0.1629 0.0000
As 0.1629 0.3371 0.0000
Ge 0.0000 0.0000 0.0000
Ge 0.5000 0.5000 0.0000

---

# Mg2GeAs

A geometry-optimized Mg2GeAs structure (GGA-PBE, Alexandria via LeMat-Bulk).

- Magnetization: 0.00 μB/f.u.
- Space-group type: No. 225
- Relative energy among the computed polymorphs: 0 meV per atom
- Total energy: -3.23 eV/atom
- E_form: -115 meV/atom

a b c (Å): 4.8089 4.8089 4.8089
angles (deg): 60.00 60.00 60.00
Fractional positions:
Mg 0.2500 0.2500 0.2500
Mg 0.7500 0.7500 0.7500
As 0.5000 0.5000 0.5000
Ge 0.0000 0.0000 0.0000